(1)
This record from the Alexandria database describes a relaxed structure of KCoHg2. The functional is PBE.

Output
ΔH_f (0 K) (kJ per mole of atoms): 30.61
Size of the total moment (μB per cell): 1.36
Crystal system: tetragonal

a = 3.6871 Å, b = 3.6871 Å, c = 7.9988 Å
α = 90.00°, β = 90.00°, γ = 90.00°
Closest atoms and distances in Å follow each position.
Space group P4mm (No. 99)
One atom of each set of equivalent atoms:
K 0.0000 0.0000 0.0000 (multiplicity 1)  5 Hg 3.26-3.54
Co 0.5000 0.5000 0.3653 (multiplicity 1)  5 Hg 2.63-2.68
Hg 0.0000 0.0000 0.4071 (multiplicity 1)  4 Co 2.63
Hg 0.5000 0.5000 0.7004 (multiplicity 1)  1 Co 2.68

=====

(2)
This record from the Alexandria database describes a relaxed structure of KCo4Hg. The functional is PBE.

Output
ΔH_f (0 K) (kJ per mole of atoms): 61.08
Size of the total moment (μB per cell): 27.43
Crystal system: cubic

a = 7.2285 Å, b = 7.2285 Å, c = 7.2285 Å
α = 90.00°, β = 90.00°, γ = 90.00°
Closest atoms and distances in Å follow each position.
Space group F-43m (No. 216)
One atom of each set of equivalent atoms:
K 0.0000 0.0000 0.0000 (multiplicity 4)  12 Co 3.00, 4 Hg 3.13
Co 0.1240 0.1240 0.6240 (multiplicity 16)  6 Co 2.54-2.58
Hg 0.2500 0.2500 0.2500 (multiplicity 4)  12 Co 2.99, 4 K 3.13

=====

(3)
This record from the Alexandria database describes a relaxed structure of KCoHg2. The functional is PBE.

Output
ΔH_f (0 K) (kJ per mole of atoms): 53.69
Size of the total moment (μB per cell): 3.65
Crystal system: tetragonal

a = 4.5236 Å, b = 4.5236 Å, c = 9.8178 Å
α = 90.00°, β = 90.00°, γ = 90.00°
Closest atoms and distances in Å follow each position.
Space group I-4m2 (No. 119)
One atom of each set of equivalent atoms:
K 0.0000 0.0000 0.0000 (multiplicity 2)  8 Hg 3.20-3.34, 4 Co 3.34
Co 0.0000 0.5000 0.7500 (multiplicity 2)  8 Hg 3.20-3.34, 4 K 3.34
Hg 0.0000 0.0000 0.5000 (multiplicity 2)  4 K 3.20, 4 Co 3.34, 4 Hg 3.34
Hg 0.0000 0.5000 0.2500 (multiplicity 2)  4 Co 3.20, 4 Hg 3.34, 4 K 3.34

=====

(4)
This record from the Alexandria database describes a relaxed structure of KCoHg2. The functional is PBE.

Output
ΔH_f (0 K) (kJ per mole of atoms): 25.71
Size of the total moment (μB per cell): 3.48
Crystal system: trigonal

a = 4.5408 Å, b = 4.5408 Å, c = 18.7202 Å
α = 90.00°, β = 90.00°, γ = 120.00°
Closest atoms and distances in Å follow each position.
Space group R-3m (No. 166, hexagonal axes)
One atom of each set of equivalent atoms:
K 0.0000 0.0000 0.0000 (multiplicity 3)  8 Hg 3.55-3.84
Co 0.0000 0.0000 0.5000 (multiplicity 3)  6 Hg 2.72
Hg 0.0000 0.0000 0.2052 (multiplicity 6)  3 Co 2.72, 3 Hg 2.99